# 1
A plane-wave DFT calculation with PBE was carried out for an optimized crystal structure of VTcRh3.

Values from the calculation:
For the energy, the calculation gives -0.539 Ry per atom. Its formation energy is 0.98 eV/atom. Its excess energy over the best structure of this formula in the dataset is 1.182 eV per atom.

```
data_VTcRh3
_symmetry_space_group_name_H-M 'P m -3 m'
_symmetry_Int_Tables_number 221
_symmetry_space_group_name_Hall '-P 4 2 3'
_cell_length_a 4.4573
_cell_length_b 4.4573
_cell_length_c 4.4573
_cell_angle_alpha 90.00
_cell_angle_beta 90.00
_cell_angle_gamma 90.00
loop_
_atom_site_label
_atom_site_type_symbol
_atom_site_fract_x
_atom_site_fract_y
_atom_site_fract_z
V1 V 0.0000 0.0000 0.0000
Tc1 Tc 0.5000 0.5000 0.5000
Rh1 Rh 0.0000 0.0000 0.5000
```

# 2
A plane-wave DFT calculation with PBE was carried out for an optimized crystal structure of VTcRh.

Values from the calculation:
For the energy, the calculation gives -0.672 Ry per atom. Its formation energy is -0.19 eV/atom. Its excess energy over the best structure of this formula in the dataset is 0.042 eV per atom.

```
data_VTcRh
_symmetry_space_group_name_H-M 'P -1'
_symmetry_Int_Tables_number 2
_cell_length_a 2.6843
_cell_length_b 5.1117
_cell_length_c 6.5753
_cell_angle_alpha 77.27
_cell_angle_beta 78.28
_cell_angle_gamma 75.65
loop_
_symmetry_equiv_pos_as_xyz
'x,y,z'
'-x,-y,-z'
loop_
_atom_site_label
_atom_site_type_symbol
_atom_site_fract_x
_atom_site_fract_y
_atom_site_fract_z
V1 V 0.0486 0.0953 0.1575
Tc1 Tc 0.4120 0.3970 0.8286
Rh1 Rh 0.1427 0.2410 0.4889
```

# 3
A plane-wave DFT calculation with PBE was carried out for an optimized crystal structure of V3Tc2Rh.

Values from the calculation:
For the energy, the calculation gives -0.703 Ry per atom. Its formation energy is -0.32 eV/atom.

```
data_V3Tc2Rh
_symmetry_space_group_name_H-M 'P 4/m m m'
_symmetry_Int_Tables_number 123
_symmetry_space_group_name_Hall '-P 4 2'
_cell_length_a 3.0284
_cell_length_b 3.0284
_cell_length_c 9.0934
_cell_angle_alpha 90.00
_cell_angle_beta 90.00
_cell_angle_gamma 90.00
loop_
_atom_site_label
_atom_site_type_symbol
_atom_site_fract_x
_atom_site_fract_y
_atom_site_fract_z
V1 V 0.0000 0.0000 0.0000
V2 V 0.0000 0.0000 0.3246
Tc1 Tc 0.5000 0.5000 0.1672
Rh1 Rh 0.5000 0.5000 0.5000
```

# 4
A plane-wave DFT calculation with PBE was carried out for an optimized crystal structure of VTcRh.

Values from the calculation:
For the energy, the calculation gives -0.658 Ry per atom. Its formation energy is -0.01 eV/atom. Its excess energy over the best structure of this formula in the dataset is 0.222 eV per atom.

```
data_VTcRh
_symmetry_space_group_name_H-M 'P -6 m 2'
_symmetry_Int_Tables_number 187
_symmetry_space_group_name_Hall 'P -6 2'
_cell_length_a 4.3677
_cell_length_b 4.3677
_cell_length_c 2.6082
_cell_angle_alpha 90.00
_cell_angle_beta 90.00
_cell_angle_gamma 120.00
loop_
_atom_site_label
_atom_site_type_symbol
_atom_site_fract_x
_atom_site_fract_y
_atom_site_fract_z
V1 V 0.0000 0.0000 0.0000
Tc1 Tc 0.6667 0.3333 0.5000
Rh1 Rh 0.3333 0.6667 0.5000
```

# 5
A plane-wave DFT calculation with PBE was carried out for an optimized crystal structure of V2TcRh.

Values from the calculation:
For the energy, the calculation gives -0.636 Ry per atom. Its formation energy is 0.33 eV/atom.

```
data_V2TcRh
_symmetry_space_group_name_H-M 'I -4 2 d'
_symmetry_Int_Tables_number 122
_symmetry_space_group_name_Hall 'I -4 2bw'
_cell_length_a 6.6908
_cell_length_b 6.6908
_cell_length_c 5.3448
_cell_angle_alpha 90.00
_cell_angle_beta 90.00
_cell_angle_gamma 90.00
loop_
_atom_site_label
_atom_site_type_symbol
_atom_site_fract_x
_atom_site_fract_y
_atom_site_fract_z
V1 V 0.2487 0.7500 0.1250
Tc1 Tc 0.0000 0.0000 0.0000
Rh1 Rh 0.0000 0.0000 0.5000
```

# 6
A plane-wave DFT calculation with PBE was carried out for an optimized crystal structure of VTcRh3.

Values from the calculation:
For the energy, the calculation gives -0.605 Ry per atom. Its formation energy is 0.07 eV/atom. Its excess energy over the best structure of this formula in the dataset is 0.275 eV per atom.

```
data_VTcRh3
_symmetry_space_group_name_H-M 'I m m a'
_symmetry_Int_Tables_number 74
_symmetry_space_group_name_Hall '-I 2b 2'
_cell_length_a 4.4214
_cell_length_b 9.1435
_cell_length_c 7.3627
_cell_angle_alpha 90.00
_cell_angle_beta 90.00
_cell_angle_gamma 90.00
loop_
_atom_site_label
_atom_site_type_symbol
_atom_site_fract_x
_atom_site_fract_y
_atom_site_fract_z
V1 V 0.0000 0.0000 0.0000
Tc1 Tc 0.0000 0.2500 0.3245
Rh1 Rh 0.0000 0.0833 0.6469
Rh2 Rh 0.0000 0.2500 0.9427
```

# 7
A plane-wave DFT calculation with PBE was carried out for an optimized crystal structure of VTcRh.

Values from the calculation:
For the energy, the calculation gives -0.673 Ry per atom. Its formation energy is -0.21 eV/atom. Its excess energy over the best structure of this formula in the dataset is 0.027 eV per atom.

```
data_VTcRh
_symmetry_space_group_name_H-M 'C 1 2/m 1'
_symmetry_Int_Tables_number 12
_cell_length_a 8.3627
_cell_length_b 3.9162
_cell_length_c 5.3285
_cell_angle_alpha 90.00
_cell_angle_beta 104.45
_cell_angle_gamma 90.00
loop_
_symmetry_equiv_pos_as_xyz
'x,y,z'
'-x,-y,-z'
'-x,y,-z'
'x,-y,z'
'x+1/2,y+1/2,z'
'-x+1/2,-y+1/2,-z'
'-x+1/2,y+1/2,-z'
'x+1/2,-y+1/2,z'
loop_
_atom_site_label
_atom_site_type_symbol
_atom_site_fract_x
_atom_site_fract_y
_atom_site_fract_z
V1 V 0.1490 0.0000 0.3155
Tc1 Tc 0.0000 0.5000 0.0000
Tc2 Tc 0.0000 0.5000 0.5000
Rh1 Rh 0.1767 0.0000 0.8257
```

# 8
A plane-wave DFT calculation with PBE was carried out for an optimized crystal structure of VTcRh.

Values from the calculation:
For the energy, the calculation gives -0.673 Ry per atom. Its formation energy is -0.21 eV/atom. Its excess energy over the best structure of this formula in the dataset is 0.022 eV per atom.

```
data_VTcRh
_symmetry_space_group_name_H-M 'C m c m'
_symmetry_Int_Tables_number 63
_symmetry_space_group_name_Hall '-C 2c 2'
_cell_length_a 4.2041
_cell_length_b 13.3163
_cell_length_c 3.0171
_cell_angle_alpha 90.00
_cell_angle_beta 90.00
_cell_angle_gamma 90.00
loop_
_atom_site_label
_atom_site_type_symbol
_atom_site_fract_x
_atom_site_fract_y
_atom_site_fract_z
V1 V 0.0000 0.0781 0.2500
Tc1 Tc 0.0000 0.4173 0.2500
Rh1 Rh 0.0000 0.2264 0.7500
```

# 9
A plane-wave DFT calculation with PBE was carried out for an optimized crystal structure of VTcRh.

Values from the calculation:
For the energy, the calculation gives -0.673 Ry per atom. Its formation energy is -0.21 eV/atom. Its excess energy over the best structure of this formula in the dataset is 0.027 eV per atom.

```
data_VTcRh
_symmetry_space_group_name_H-M 'P 1 2/m 1'
_symmetry_Int_Tables_number 10
_cell_length_a 4.4777
_cell_length_b 2.9213
_cell_length_c 6.5375
_cell_angle_alpha 90.00
_cell_angle_beta 99.70
_cell_angle_gamma 90.00
loop_
_symmetry_equiv_pos_as_xyz
'x,y,z'
'-x,-y,-z'
'-x,y,-z'
'x,-y,z'
loop_
_atom_site_label
_atom_site_type_symbol
_atom_site_fract_x
_atom_site_fract_y
_atom_site_fract_z
V1 V 0.2198 0.0000 0.3313
Tc1 Tc 0.2781 0.5000 0.6536
Rh1 Rh 0.0000 0.5000 0.0000
Rh2 Rh 0.5000 0.0000 0.0000
```

# 10
A plane-wave DFT calculation with PBE was carried out for an optimized crystal structure of VTcRh.

Values from the calculation:
For the energy, the calculation gives -0.675 Ry per atom. Its formation energy is -0.23 eV/atom. Its excess energy over the best structure of this formula in the dataset is 0.000 eV per atom.

```
data_VTcRh
_symmetry_space_group_name_H-M 'A m m 2'
_symmetry_Int_Tables_number 38
_cell_length_a 2.9414
_cell_length_b 12.7363
_cell_length_c 4.4932
_cell_angle_alpha 90.00
_cell_angle_beta 90.00
_cell_angle_gamma 90.00
loop_
_symmetry_equiv_pos_as_xyz
'x,y,z'
'-x,-y,z'
'-x,y,z'
'x,-y,z'
'x,y+1/2,z+1/2'
'-x,-y+1/2,z+1/2'
'-x,y+1/2,z+1/2'
'x,-y+1/2,z+1/2'
loop_
_atom_site_label
_atom_site_type_symbol
_atom_site_fract_x
_atom_site_fract_y
_atom_site_fract_z
V1 V 0.0000 0.1658 0.0000
Tc1 Tc 0.5000 0.1724 0.5013
Rh1 Rh 0.0000 0.0000 0.3592
Rh2 Rh 0.5000 0.0000 0.8595
```

# 11
A plane-wave DFT calculation with PBE was carried out for an optimized crystal structure of VTcRh4.

Values from the calculation:
For the energy, the calculation gives -0.618 Ry per atom. Its formation energy is -0.27 eV/atom. Its excess energy over the best structure of this formula in the dataset is 0.000 eV per atom.

```
data_VTcRh4
_symmetry_space_group_name_H-M 'A m m 2'
_symmetry_Int_Tables_number 38
_cell_length_a 4.3413
_cell_length_b 2.7379
_cell_length_c 14.1240
_cell_angle_alpha 90.00
_cell_angle_beta 90.00
_cell_angle_gamma 90.00
loop_
_symmetry_equiv_pos_as_xyz
'x,y,z'
'-x,-y,z'
'-x,y,z'
'x,-y,z'
'x,y+1/2,z+1/2'
'-x,-y+1/2,z+1/2'
'-x,y+1/2,z+1/2'
'x,-y+1/2,z+1/2'
loop_
_atom_site_label
_atom_site_type_symbol
_atom_site_fract_x
_atom_site_fract_y
_atom_site_fract_z
V1 V 0.0000 0.0000 0.0000
Tc1 Tc 0.5000 0.0000 0.2228
Rh1 Rh 0.0000 0.0000 0.3387
Rh2 Rh 0.0000 0.0000 0.6654
Rh3 Rh 0.5000 0.0000 0.5545
Rh4 Rh 0.5000 0.0000 0.8889
```

# 12
A plane-wave DFT calculation with PBE was carried out for an optimized crystal structure of V4Tc3Rh.

Values from the calculation:
For the energy, the calculation gives -0.713 Ry per atom. Its formation energy is -0.33 eV/atom.

```
data_V4Tc3Rh
_symmetry_space_group_name_H-M 'P m m m'
_symmetry_Int_Tables_number 47
_cell_length_a 3.0476
_cell_length_b 4.2714
_cell_length_c 8.5172
_cell_angle_alpha 90.00
_cell_angle_beta 90.00
_cell_angle_gamma 90.00
loop_
_symmetry_equiv_pos_as_xyz
'x,y,z'
'-x,-y,-z'
'-x,-y,z'
'x,y,-z'
'x,-y,-z'
'-x,y,z'
'-x,y,-z'
'x,-y,z'
loop_
_atom_site_label
_atom_site_type_symbol
_atom_site_fract_x
_atom_site_fract_y
_atom_site_fract_z
V1 V 0.0000 0.0000 0.0000
V2 V 0.0000 0.0000 0.5000
V3 V 0.0000 0.5000 0.2428
Tc1 Tc 0.5000 0.0000 0.2544
Tc2 Tc 0.5000 0.5000 0.0000
Rh1 Rh 0.5000 0.5000 0.5000
```

Please write out number 5 again, unchanged.
A plane-wave DFT calculation with PBE was carried out for an optimized crystal structure of V2TcRh.

Values from the calculation:
For the energy, the calculation gives -0.636 Ry per atom. Its formation energy is 0.33 eV/atom.

```
data_V2TcRh
_symmetry_space_group_name_H-M 'I -4 2 d'
_symmetry_Int_Tables_number 122
_symmetry_space_group_name_Hall 'I -4 2bw'
_cell_length_a 6.6908
_cell_length_b 6.6908
_cell_length_c 5.3448
_cell_angle_alpha 90.00
_cell_angle_beta 90.00
_cell_angle_gamma 90.00
loop_
_atom_site_label
_atom_site_type_symbol
_atom_site_fract_x
_atom_site_fract_y
_atom_site_fract_z
V1 V 0.2487 0.7500 0.1250
Tc1 Tc 0.0000 0.0000 0.0000
Rh1 Rh 0.0000 0.0000 0.5000
```

Copy entry 5 word for word.
A plane-wave DFT calculation with PBE was carried out for an optimized crystal structure of V2TcRh.

Values from the calculation:
For the energy, the calculation gives -0.636 Ry per atom. Its formation energy is 0.33 eV/atom.

```
data_V2TcRh
_symmetry_space_group_name_H-M 'I -4 2 d'
_symmetry_Int_Tables_number 122
_symmetry_space_group_name_Hall 'I -4 2bw'
_cell_length_a 6.6908
_cell_length_b 6.6908
_cell_length_c 5.3448
_cell_angle_alpha 90.00
_cell_angle_beta 90.00
_cell_angle_gamma 90.00
loop_
_atom_site_label
_atom_site_type_symbol
_atom_site_fract_x
_atom_site_fract_y
_atom_site_fract_z
V1 V 0.2487 0.7500 0.1250
Tc1 Tc 0.0000 0.0000 0.0000
Rh1 Rh 0.0000 0.0000 0.5000
```

Which formula does entry 1 have? VTcRh3

Among the records above, which one has the lowest energy? V4Tc3Rh